DFT (GGA-PBE) results for a relaxed structure of ReIrBr4.

a b c (Å): 5.9895 5.9895 5.9895
angles (deg): 60.00 60.00 60.00
Site moments in Bohr magnetons follow the coordinates.
Atoms (fractional coordinates):
Br  0.3755  0.3755  0.8734  -0.01
Br  0.3755  0.8734  0.3755  -0.01
Br  0.3755  0.3755  0.3755  -0.01
Br  0.8734  0.3755  0.3755  -0.01
Ir  0.7500  0.7500  0.7500  -1.86
Re  0.0000  0.0000  0.0000  3.90

Final energy, eV/atom: -2.4948
DOS at the Fermi energy, states/eV per atom: 1.235
Crystal system: cubic
Raw formation energy, eV per atom: 2.17
Total magnetic moment, Bohr magnetons per cell: 2.6

DFT (GGA-PBE) results for a relaxed structure of ScRu2Br.

a b c (Å): 4.5270 4.5270 4.5270
angles (deg): 60.00 60.00 60.00
Atoms (fractional coordinates):
Ru  0.7500  0.7500  0.7500
Ru  0.2500  0.2500  0.2500
Sc  0.0000  0.0000  0.0000
Br  0.5000  0.5000  0.5000

Final energy, eV/atom: -6.2000
DOS at the Fermi energy, states/eV per atom: 1.078
Crystal system: cubic
Raw formation energy, eV per atom: 0.44
E above lowest polymorph, eV/f.u.: 2.08
Total magnetic moment, Bohr magnetons per cell: 0.0

DFT (GGA-PBE) results for a relaxed structure of ZnCuP2.

a b c (Å): 3.5676 4.4934 3.6390
angles (deg): 90.00 90.00 90.00
Atoms (fractional coordinates):
Zn  0.5000  0.0000  0.5000
P  0.5000  0.5000  0.0000
P  0.0000  0.0000  0.0000
Cu  0.0000  0.5000  0.5000

Final energy, eV/atom: -3.6683
DOS at the Fermi energy, states/eV per atom: 0.396
Crystal system: orthorhombic
Total magnetic moment, Bohr magnetons per cell: 0.0
DFT formation energy, eV/atom: 0.3792

DFT (GGA-PBE) results for a relaxed structure of Sr4Li2S.

a b c (Å): 5.7064 5.7064 9.8523
angles (deg): 106.83 106.83 90.00
Atoms (fractional coordinates):
Li  0.3701  0.3701  0.7402
Li  0.6299  0.6299  0.2598
Sr  0.1773  0.1773  0.3545
Sr  0.5000  0.0000  0.0000
Sr  0.8227  0.8227  0.6455
Sr  0.0000  0.5000  0.0000
S  0.0000  0.0000  0.0000

Final energy, eV/atom: -2.5379
DOS at the Fermi energy, states/eV per atom: 0.598
Crystal system: tetragonal
Raw formation energy, eV per atom: -0.44
Total magnetic moment, Bohr magnetons per cell: 0.0

DFT (GGA-PBE) results for a relaxed structure of SrCuTc2.

a b c (Å): 5.1925 5.7487 2.7124
angles (deg): 80.87 80.15 114.29
Atoms (fractional coordinates):
Tc  0.5000  0.0000  0.5000
Tc  0.0000  0.0000  0.0000
Cu  0.0000  0.5000  0.5000
Sr  0.5000  0.5000  0.0000

Final energy, eV/atom: -5.7772
DOS at the Fermi energy, states/eV per atom: 0.946
Crystal system: monoclinic
E above lowest polymorph, eV/f.u.: 2.21
Total magnetic moment, Bohr magnetons per cell: 0.0
DFT formation energy, eV/atom: 0.8502

DFT (GGA-PBE) results for a relaxed structure of PaAl4Ni15.

a b c (Å): 3.6890 3.6890 17.5411
angles (deg): 90.00 90.00 90.00
Site moments in Bohr magnetons follow the coordinates.
Atoms (fractional coordinates):
Ni  0.5000  0.0000  0.3072  0.13
Ni  0.5000  0.5000  0.4038  0.24
Ni  0.5000  0.0000  0.8896  0.01
Ni  0.5000  0.5000  0.5962  0.24
Ni  0.5000  0.5000  0.2098  0.06
Ni  0.5000  0.5000  0.0000  0.00
Ni  0.5000  0.5000  0.7902  0.06
Ni  0.0000  0.5000  0.1104  0.01
Ni  0.5000  0.0000  0.6928  0.13
Ni  0.0000  0.5000  0.5000  0.22
Ni  0.0000  0.5000  0.3072  0.13
Ni  0.5000  0.0000  0.5000  0.22
Ni  0.0000  0.5000  0.6928  0.13
Ni  0.5000  0.0000  0.1104  0.01
Ni  0.0000  0.5000  0.8896  0.01
Al  0.0000  0.0000  0.2119  0.00
Al  0.0000  0.0000  0.5964  -0.01
Al  0.0000  0.0000  0.4036  -0.01
Al  0.0000  0.0000  0.7881  0.00
Pa  0.0000  0.0000  0.0000  -0.01

Final energy, eV/atom: -5.9874
DOS at the Fermi energy, states/eV per atom: 0.913
Crystal system: tetragonal
Total magnetic moment, Bohr magnetons per cell: 1.4
DFT formation energy, eV/atom: -0.4281

DFT (GGA-PBE) results for a relaxed structure of KPuAl2O6.

a b c (Å): 5.9546 7.4265 7.4265
angles (deg): 88.38 77.12 77.12
Site moments in Bohr magnetons follow the coordinates.
Atoms (fractional coordinates):
K  0.2500  0.9136  0.0864  0.00
K  0.7500  0.0864  0.9136  0.00
O  0.0965  0.6202  0.2097  -0.10
O  0.1502  0.6330  0.7063  -0.02
O  0.6502  0.7063  0.6330  -0.02
O  0.9035  0.3798  0.7903  -0.10
O  0.4035  0.7903  0.3798  -0.10
O  0.5965  0.2097  0.6202  -0.10
O  0.7121  0.7283  0.0073  -0.04
O  0.7879  0.9927  0.2717  -0.04
O  0.2879  0.2717  0.9927  -0.04
O  0.2121  0.0073  0.7283  -0.04
O  0.3498  0.2937  0.3670  -0.02
O  0.8498  0.3670  0.2937  -0.02
Al  0.1593  0.3702  0.2136  0.00
Al  0.8407  0.6298  0.7864  0.00
Al  0.6593  0.2136  0.3702  0.00
Al  0.3407  0.7864  0.6298  0.00
Pu  0.2500  0.2898  0.7102  3.33
Pu  0.7500  0.7102  0.2898  3.33

Final energy, eV/atom: -7.9159
DOS at the Fermi energy, states/eV per atom: 0.560
Crystal system: monoclinic
Raw formation energy, eV per atom: -2.65
Total magnetic moment, Bohr magnetons per cell: 6.0

DFT (GGA-PBE) results for a relaxed structure of Cu3GeSe.

a b c (Å): 4.5942 4.5942 4.5942
angles (deg): 90.00 90.00 90.00
Atoms (fractional coordinates):
Se  0.0000  0.0000  0.0000
Cu  0.0000  0.0000  0.5000
Cu  0.0000  0.5000  0.0000
Cu  0.5000  0.0000  0.0000
Ge  0.5000  0.5000  0.5000

Final energy, eV/atom: -3.4638
DOS at the Fermi energy, states/eV per atom: 0.653
Crystal system: cubic
Raw formation energy, eV per atom: 0.61
E above lowest polymorph, eV/f.u.: 0.00
Total magnetic moment, Bohr magnetons per cell: 0.0

DFT (GGA-PBE) results for a relaxed structure of LiY2Zn.

a b c (Å): 3.6614 5.1007 5.1007
angles (deg): 90.00 90.00 90.00
Atoms (fractional coordinates):
Y  0.0000  0.0000  0.5000
Y  0.0000  0.5000  0.0000
Li  0.5000  0.5000  0.5000
Zn  0.5000  0.0000  0.0000

Final energy, eV/atom: -4.1733
DOS at the Fermi energy, states/eV per atom: 1.098
Crystal system: tetragonal
Total magnetic moment, Bohr magnetons per cell: 0.0
DFT formation energy, eV/atom: -0.1443

DFT (GGA-PBE) results for a relaxed structure of KErMgBr6.

a b c (Å): 7.1249 7.1249 14.6419
angles (deg): 90.00 90.00 120.00
Atoms (fractional coordinates):
Br  0.6239  0.6326  0.1420
Br  0.6239  0.9914  0.3580
Br  0.3674  0.9914  0.1420
Br  0.3674  0.3761  0.3580
Br  0.3761  0.3674  0.8580
Br  0.6326  0.0086  0.8580
Br  0.6326  0.6239  0.6420
Br  0.0086  0.3761  0.1420
Br  0.3761  0.0086  0.6420
Br  0.9914  0.6239  0.8580
Br  0.9914  0.3674  0.6420
Br  0.0086  0.6326  0.3580
K  0.0000  0.0000  0.5000
K  0.0000  0.0000  0.0000
Er  0.6667  0.3333  0.2500
Er  0.3333  0.6667  0.7500
Mg  0.3333  0.6667  0.2500
Mg  0.6667  0.3333  0.7500

Final energy, eV/atom: -3.6493
DOS at the Fermi energy, states/eV per atom: 0.000
Crystal system: trigonal
Raw formation energy, eV per atom: -1.73
Total magnetic moment, Bohr magnetons per cell: 0.0

DFT (GGA-PBE) results for a relaxed structure of LiPt2W.

a b c (Å): 4.6736 4.6736 4.6736
angles (deg): 129.81 129.84 73.69
Site moments in Bohr magnetons follow the coordinates.
Atoms (fractional coordinates):
Pt  0.5000  0.5000  0.0000  0.09
Pt  0.0000  0.0000  0.0000  0.09
W  0.2500  0.7500  0.5000  0.55
Li  0.7500  0.2500  0.5000  0.01

Final energy, eV/atom: -6.9621
DOS at the Fermi energy, states/eV per atom: 0.515
Crystal system: tetragonal
Total magnetic moment, Bohr magnetons per cell: 0.8
DFT formation energy, eV/atom: -0.2250

DFT (GGA-PBE) results for a relaxed structure of Tb2Cd3Pd2.

a b c (Å): 4.4830 5.4087 7.4502
angles (deg): 108.21 90.00 114.48
Atoms (fractional coordinates):
Tb  0.1395  0.2791  0.7818
Tb  0.8605  0.7209  0.2182
Pd  0.8455  0.6909  0.8082
Pd  0.1545  0.3091  0.1918
Cd  0.5000  0.0000  0.0000
Cd  0.3716  0.7432  0.5591
Cd  0.6284  0.2568  0.4409

Final energy, eV/atom: -3.7990
DOS at the Fermi energy, states/eV per atom: 0.539
Crystal system: monoclinic
E above lowest polymorph, eV/f.u.: 0.00
Total magnetic moment, Bohr magnetons per cell: 0.0
DFT formation energy, eV/atom: -0.6003